Entry one
The following is a PBE calculation of a geometry-optimized BPd5 structure, from Alexandria via LeMat-Bulk. Values from VASP.

DOS(E_F): 4.4 states/eV/cell
Size of the total moment: 0.000 μB per cell
Crystal system: monoclinic

Geometry as Quantum ESPRESSO input:
```
&SYSTEM
  ibrav = 0, nat = 6, ntyp = 2
/
ATOMIC_SPECIES
B 10.81 B.upf
Pd 106.42 Pd.upf
CELL_PARAMETERS angstrom
4.6173 -1.4036 0.0000
4.6173 1.4036 0.0000
-1.6854 0.0000 6.5192
ATOMIC_POSITIONS angstrom
B 0.0000 0.0000 0.0000
Pd -0.4058 0.0000 3.8925
Pd 2.0801 0.0000 5.1179
Pd 3.8076 0.0000 1.4285
Pd 4.5621 0.0000 6.4476
Pd 6.3134 0.0000 2.7019
```



Entry two
The following is a PBE calculation of a geometry-optimized BPd5 structure, from Alexandria via LeMat-Bulk. Values from VASP.

DOS(E_F): 15.1 states/eV/cell
Size of the total moment: 0.000 μB per cell
Crystal system: monoclinic

Geometry as Quantum ESPRESSO input:
```
&SYSTEM
  ibrav = 0, nat = 24, ntyp = 2
/
ATOMIC_SPECIES
B 10.81 B.upf
Pd 106.42 Pd.upf
CELL_PARAMETERS angstrom
6.4249 0.0000 0.0000
0.0000 8.2108 0.0000
-6.4128 0.0000 6.4731
ATOMIC_POSITIONS angstrom
B 0.3577 1.0892 1.0281
B -2.8487 3.0162 4.2646
B 2.8608 5.1946 2.2085
B -0.3456 7.1217 5.4450
Pd -1.5733 5.1373 1.5931
Pd -4.7796 7.1789 4.8297
Pd -2.8823 0.9572 4.2138
Pd 0.3241 3.1482 0.9772
Pd -2.8734 5.1508 4.2189
Pd 0.3330 7.1655 0.9823
Pd 2.2288 5.1316 0.2594
Pd -0.9776 7.1846 3.4959
Pd 2.3033 1.0351 0.3146
Pd -0.9031 3.0703 3.5512
Pd 0.9152 5.1405 2.9219
Pd -2.2912 7.1757 6.1585
Pd 0.9897 1.0262 2.9772
Pd -2.2167 3.0792 6.2137
Pd -0.3208 1.0454 5.4908
Pd 2.8856 3.0601 2.2542
Pd -0.3120 5.0626 5.4959
Pd 2.8944 7.2536 2.2594
Pd 4.7918 1.0319 1.6434
Pd 1.5854 3.0735 4.8800
```



Entry three
The following is a PBE calculation of a geometry-optimized BPd5 structure, from Alexandria via LeMat-Bulk. Values from VASP.

DOS(E_F): 5.1 states/eV/cell
Size of the total moment: 0.000 μB per cell
Crystal system: tetragonal

Geometry as Quantum ESPRESSO input:
```
&SYSTEM
  ibrav = 0, nat = 6, ntyp = 2
/
ATOMIC_SPECIES
B 10.81 B.upf
Pd 106.42 Pd.upf
CELL_PARAMETERS angstrom
-1.5564 1.5564 8.8995
1.5564 -1.5564 8.8995
1.5564 1.5564 -8.8995
ATOMIC_POSITIONS angstrom
B 0.0000 0.0000 0.0000
Pd 0.0000 0.0000 1.9853
Pd 0.0000 0.0000 5.2655
Pd 0.0000 0.0000 8.8995
Pd 0.0000 0.0000 12.5335
Pd 0.0000 0.0000 15.8137
```



Entry four
The following is a PBE calculation of a geometry-optimized BPd5 structure, from Alexandria via LeMat-Bulk. Values from VASP.

DOS(E_F): 4.6 states/eV/cell
Size of the total moment: 0.000 μB per cell
Crystal system: orthorhombic

Geometry as Quantum ESPRESSO input:
```
&SYSTEM
  ibrav = 0, nat = 6, ntyp = 2
/
ATOMIC_SPECIES
B 10.81 B.upf
Pd 106.42 Pd.upf
CELL_PARAMETERS angstrom
1.4046 -6.9789 0.0000
1.4046 6.9789 0.0000
0.0000 0.0000 4.5804
ATOMIC_POSITIONS angstrom
B 0.0000 0.0000 0.0000
Pd 1.4046 4.6089 2.2902
Pd 1.4046 1.5804 0.0000
Pd 1.4046 0.0000 2.2902
Pd 1.4046 -1.5804 0.0000
Pd 1.4046 -4.6089 2.2902
```



Most stable to least stable, the ends of the list are entry two and entry four.



Entry one
The following is a PBE calculation of a geometry-optimized BPd6 structure, from Alexandria via LeMat-Bulk. Values from VASP.

DOS(E_F): 16.3 states/eV/cell
Size of the total moment: 0.000 μB per cell
Crystal system: orthorhombic

Geometry as Quantum ESPRESSO input:
```
&SYSTEM
  ibrav = 0, nat = 14, ntyp = 2
/
ATOMIC_SPECIES
B 10.81 B.upf
Pd 106.42 Pd.upf
CELL_PARAMETERS angstrom
0.0000 4.0200 8.6258
2.9138 0.0000 8.6258
2.9138 4.0200 0.0000
ATOMIC_POSITIONS angstrom
B 0.7284 1.0050 2.1564
B 5.0991 7.0350 15.0951
Pd 3.6137 3.0169 5.0062
Pd 2.1853 1.0634 6.4693
Pd 3.6137 3.0131 7.9324
Pd 5.0706 5.0231 9.3191
Pd 3.6422 3.0734 10.7822
Pd 5.0706 5.0269 12.2453
Pd 0.7570 3.0131 5.0062
Pd 2.1853 4.9666 6.4693
Pd 0.7570 3.0169 7.9324
Pd 2.2139 5.0269 9.3191
Pd 3.6422 6.9766 10.7822
Pd 2.2139 5.0231 12.2453
```



Entry two
The following is a PBE calculation of a geometry-optimized BPd6 structure, from Alexandria via LeMat-Bulk. Values from VASP.

DOS(E_F): 13.2 states/eV/cell
Size of the total moment: 0.000 μB per cell
Crystal system: cubic

Geometry as Quantum ESPRESSO input:
```
&SYSTEM
  ibrav = 0, nat = 7, ntyp = 2
/
ATOMIC_SPECIES
B 10.81 B.upf
Pd 106.42 Pd.upf
CELL_PARAMETERS angstrom
-3.2483 3.2483 3.2483
3.2483 -3.2483 3.2483
3.2483 3.2483 -3.2483
ATOMIC_POSITIONS angstrom
B 0.0000 0.0000 0.0000
Pd 2.0081 0.0000 0.0000
Pd 4.4884 0.0000 0.0000
Pd 0.0000 2.0081 0.0000
Pd 0.0000 0.0000 2.0081
Pd 0.0000 4.4884 0.0000
Pd 0.0000 0.0000 4.4884
```



Most stable to least stable, the ends of the list are entry one and entry two.



Entry one
The following is a PBE calculation of a geometry-optimized Pm2BPd6 structure, from Alexandria via LeMat-Bulk. Values from VASP.

DOS(E_F): 8.5 states/eV/cell
Size of the total moment: 0.000 μB per cell
Crystal system: cubic

Geometry as Quantum ESPRESSO input:
```
&SYSTEM
  ibrav = 0, nat = 9, ntyp = 3
/
ATOMIC_SPECIES
Pm 145.00 Pm.upf
B 10.81 B.upf
Pd 106.42 Pd.upf
CELL_PARAMETERS angstrom
0.0000 4.2605 4.2605
4.2605 0.0000 4.2605
4.2605 4.2605 0.0000
ATOMIC_POSITIONS angstrom
Pm 2.1303 2.1303 2.1303
Pm 6.3908 6.3908 6.3908
B 0.0000 0.0000 0.0000
Pd 4.2605 4.2605 2.1767
Pd 4.2605 2.1767 4.2605
Pd 6.3444 4.2605 4.2605
Pd 2.1767 4.2605 4.2605
Pd 4.2605 6.3444 4.2605
Pd 4.2605 4.2605 6.3443
```



Entry two
The following is a PBE calculation of a geometry-optimized Pm2BPd6 structure, from Alexandria via LeMat-Bulk. Values from VASP.

DOS(E_F): 1.9 states/eV/cell
Size of the total moment: 0.000 μB per cell
Crystal system: trigonal

Geometry as Quantum ESPRESSO input:
```
&SYSTEM
  ibrav = 0, nat = 9, ntyp = 3
/
ATOMIC_SPECIES
Pm 145.00 Pm.upf
B 10.81 B.upf
Pd 106.42 Pd.upf
CELL_PARAMETERS angstrom
5.8728 0.0000 0.0000
-2.9364 5.0860 0.0000
0.0000 0.0000 5.2309
ATOMIC_POSITIONS angstrom
Pm 0.0000 3.3906 1.2060
Pm 2.9364 1.6953 4.0249
B 0.0000 0.0000 0.0000
Pd 0.0000 1.6692 3.8603
Pd -1.4908 4.2514 3.8603
Pd 1.4456 0.8346 1.3706
Pd 1.4908 4.2514 3.8603
Pd 4.4272 0.8346 1.3706
Pd 2.9364 3.4167 1.3706
```



Most stable to least stable, the ends of the list are entry one and entry two.



Entry one
The following is a PBE calculation of a geometry-optimized BPd3Pt structure, from Alexandria via LeMat-Bulk. Values from VASP.

DOS(E_F): 8.7 states/eV/cell
Size of the total moment: 0.000 μB per cell
Crystal system: cubic

Geometry as Quantum ESPRESSO input:
```
&SYSTEM
  ibrav = 0, nat = 5, ntyp = 3
/
ATOMIC_SPECIES
B 10.81 B.upf
Pd 106.42 Pd.upf
Pt 195.08 Pt.upf
CELL_PARAMETERS angstrom
4.9024 0.0000 0.0000
0.0000 4.9024 0.0000
0.0000 0.0000 4.9024
ATOMIC_POSITIONS angstrom
B 0.0000 0.0000 0.0000
Pd 0.0000 2.4512 2.4512
Pd 2.4512 0.0000 2.4512
Pd 2.4512 2.4512 0.0000
Pt 2.4512 2.4512 2.4512
```



Entry two
The following is a PBE calculation of a geometry-optimized BPd3Pt structure, from Alexandria via LeMat-Bulk. Values from VASP.

DOS(E_F): 3.9 states/eV/cell
Size of the total moment: 0.000 μB per cell
Crystal system: orthorhombic

Geometry as Quantum ESPRESSO input:
```
&SYSTEM
  ibrav = 0, nat = 10, ntyp = 3
/
ATOMIC_SPECIES
B 10.81 B.upf
Pd 106.42 Pd.upf
Pt 195.08 Pt.upf
CELL_PARAMETERS angstrom
-2.8948 3.0165 4.0469
2.8948 -3.0165 4.0469
2.8948 3.0165 -4.0469
ATOMIC_POSITIONS angstrom
B 0.0000 1.4820 0.0000
B 0.0000 4.5511 0.0000
Pd 2.8948 1.5051 -1.9651
Pd 2.8948 1.5051 1.9651
Pd 1.4625 3.0165 0.0000
Pd 1.4323 0.0000 4.0469
Pd 0.0000 1.5114 2.0817
Pd 0.0000 1.5114 6.0120
Pt 1.5022 0.0000 0.0000
Pt 4.2874 0.0000 0.0000
```



Entry three
The following is a PBE calculation of a geometry-optimized BPd3Pt structure, from Alexandria via LeMat-Bulk. Values from VASP.

DOS(E_F): 5.2 states/eV/cell
Size of the total moment: 0.000 μB per cell
Crystal system: cubic

Geometry as Quantum ESPRESSO input:
```
&SYSTEM
  ibrav = 0, nat = 5, ntyp = 3
/
ATOMIC_SPECIES
B 10.81 B.upf
Pd 106.42 Pd.upf
Pt 195.08 Pt.upf
CELL_PARAMETERS angstrom
4.1606 0.0000 0.0000
0.0000 4.1606 0.0000
0.0000 0.0000 4.1606
ATOMIC_POSITIONS angstrom
B 0.0000 0.0000 0.0000
Pd 0.0000 0.0000 2.0803
Pd 0.0000 2.0803 0.0000
Pd 2.0803 0.0000 0.0000
Pt 2.0803 2.0803 2.0803
```



Most stable to least stable, the ends of the list are entry two and entry one.